# TbPm4Er3Se8 | the Alexandria database | GGA-PBE | relaxed
data_TbPm4Er3Se8
_chemical_formula_sum 'Tb3 Pm12 Er9 Se24'
_cell_length_a 8.1710
_cell_length_b 8.1710
_cell_length_c 20.6191
_cell_angle_alpha 90.00
_cell_angle_beta 90.00
_cell_angle_gamma 120.00
_space_group_name_H-M_alt 'R -3 m'
_space_group_IT_number 166
_space_group_name_Hall '-R 3 2"'
loop_
_atom_site_label
_atom_site_fract_x
_atom_site_fract_y
_atom_site_fract_z
Tb1 0.0000 0.0000 0.0000
Pm1 0.0000 0.0000 0.5000
Pm2 0.0000 0.5000 0.5000
Er1 0.0000 0.5000 0.0000
Se1 0.0000 0.0000 0.2553
Se2 0.0028 0.5014 0.2547
# Formation energy without anion corrections (meV per atom): -1776
# N(E_F) (states/eV/atom): 0.5776